[1]
DyAgTePbSe2 | GGA-PBE | optimized geometry

energy: -4.4179 eV/atom

abc: 7.400 7.400 11.220
angles: 90.00 90.00 147.21
Fractional coordinates of all 12 atoms:
Te 0.896 0.104 0.750
Se 0.635 0.365 0.943
Ag 0.472 0.528 0.250
Pb 0.216 0.784 0.750
Se 0.365 0.635 0.057
Dy 0.000 0.000 0.500
Se 0.365 0.635 0.443
Dy 0.000 0.000 0.000
Ag 0.528 0.472 0.750
Se 0.635 0.365 0.557
Pb 0.784 0.216 0.250
Te 0.104 0.896 0.250

[2]
DyAgTe2PbSe | GGA-PBE | optimized geometry

energy: -4.2807 eV/atom

abc: 7.680 7.680 10.655
angles: 90.00 90.00 147.51
Fractional coordinates of all 12 atoms:
Ag 0.475 0.525 0.250
Se 0.083 0.917 0.250
Te 0.351 0.649 0.448
Ag 0.525 0.475 0.750
Dy 0.000 0.000 0.000
Pb 0.746 0.254 0.250
Te 0.649 0.351 0.948
Dy 0.000 0.000 0.500
Te 0.351 0.649 0.052
Pb 0.254 0.746 0.750
Te 0.649 0.351 0.552
Se 0.917 0.083 0.750

[3]
SmDyAg2Pb2 | GGA-PBE | optimized geometry

energy: -4.1589 eV/atom

abc: 4.830 4.830 7.501
angles: 90.00 90.00 120.00
Fractional coordinates of all 6 atoms:
Ag 0.667 0.333 0.176
Ag 0.333 0.667 0.684
Dy 0.000 0.000 0.992
Pb 0.333 0.667 0.269
Sm 0.000 0.000 0.491
Pb 0.667 0.333 0.774

[4]
DyAgTe3Pb | GGA-PBE | optimized geometry

energy: -4.1460 eV/atom

abc: 4.333 7.737 11.245
angles: 90.00 90.00 73.74
Fractional coordinates of all 12 atoms:
Pb 0.769 0.462 0.750
Dy 0.000 0.000 0.000
Te 0.907 0.187 0.250
Te 0.093 0.813 0.750
Dy 0.000 0.000 0.500
Te 0.355 0.291 0.553
Pb 0.231 0.538 0.250
Te 0.645 0.709 0.053
Te 0.645 0.709 0.447
Ag 0.530 0.941 0.250
Ag 0.470 0.059 0.750
Te 0.355 0.291 0.947

[5]
DyAgTe3Pb | GGA-PBE | optimized geometry

energy: -4.0946 eV/atom

abc: 9.065 4.562 17.848
angles: 90.00 90.00 90.00
Fractional coordinates of all 24 atoms:
Te 0.305 0.750 0.707
Te 0.611 0.750 0.560
Ag 0.376 0.750 0.861
Pb 0.932 0.750 0.232
Te 0.389 0.250 0.440
Te 0.195 0.250 0.207
Te 0.695 0.250 0.293
Dy 0.745 0.250 0.467
Ag 0.876 0.750 0.639
Dy 0.255 0.750 0.533
Pb 0.568 0.250 0.732
Te 0.527 0.250 0.914
Dy 0.245 0.250 0.033
Ag 0.624 0.250 0.139
Te 0.027 0.250 0.586
Ag 0.124 0.250 0.361
Pb 0.068 0.250 0.768
Pb 0.432 0.750 0.268
Te 0.805 0.750 0.793
Te 0.889 0.250 0.060
Te 0.973 0.750 0.414
Te 0.473 0.750 0.086
Dy 0.755 0.750 0.967
Te 0.111 0.750 0.940

[6]
DyAgTe3Pb | GGA-PBE | optimized geometry

energy: -4.1483 eV/atom

abc: 11.315 4.359 14.713
angles: 90.00 90.00 90.00
Fractional coordinates of all 24 atoms:
Te 0.266 0.750 0.656
Te 0.536 0.750 0.110
Pb 0.224 0.250 0.483
Dy 0.481 0.250 0.256
Te 0.464 0.250 0.890
Dy 0.019 0.750 0.756
Te 0.766 0.750 0.844
Te 0.964 0.250 0.610
Ag 0.240 0.750 0.279
Te 0.234 0.250 0.156
Pb 0.724 0.250 0.017
Ag 0.260 0.250 0.779
Te 0.036 0.750 0.390
Te 0.072 0.250 0.900
Te 0.734 0.250 0.344
Dy 0.519 0.750 0.744
Te 0.928 0.750 0.100
Dy 0.981 0.250 0.244
Pb 0.276 0.750 0.983
Ag 0.760 0.250 0.721
Te 0.572 0.250 0.600
Te 0.428 0.750 0.400
Pb 0.776 0.750 0.517
Ag 0.740 0.750 0.221

[7]
DyAgTe3Pb | GGA-PBE | optimized geometry

energy: -4.1514 eV/atom

abc: 8.348 4.347 10.712
angles: 90.00 106.48 90.00
Fractional coordinates of all 12 atoms:
Ag 0.085 0.250 0.591
Te 0.950 0.750 0.156
Dy 0.304 0.750 0.830
Te 0.050 0.250 0.844
Te 0.422 0.750 0.133
Te 0.288 0.750 0.538
Pb 0.259 0.250 0.297
Te 0.578 0.250 0.867
Ag 0.915 0.750 0.409
Te 0.712 0.250 0.462
Dy 0.696 0.250 0.170
Pb 0.741 0.750 0.703

[8]
DyAgTe3Pb | GGA-PBE | optimized geometry

energy: -4.0907 eV/atom

abc: 12.489 4.527 12.754
angles: 90.00 90.00 90.00
Fractional coordinates of all 24 atoms:
Dy 0.027 0.250 0.812
Te 0.222 0.750 0.329
Te 0.278 0.250 0.829
Pb 0.192 0.250 0.519
Te 0.778 0.250 0.671
Te 0.527 0.750 0.864
Dy 0.527 0.250 0.688
Te 0.027 0.750 0.636
Dy 0.973 0.750 0.188
Ag 0.738 0.750 0.795
Dy 0.473 0.750 0.312
Te 0.409 0.750 0.563
Te 0.473 0.250 0.136
Ag 0.262 0.250 0.205
Te 0.909 0.750 0.937
Te 0.591 0.250 0.437
Ag 0.762 0.250 0.295
Te 0.722 0.750 0.171
Pb 0.808 0.750 0.481
Te 0.973 0.250 0.364
Pb 0.692 0.250 0.981
Pb 0.308 0.750 0.019
Ag 0.238 0.750 0.705
Te 0.091 0.250 0.063

[9]
DyAgTe3Pb | GGA-PBE | optimized geometry

energy: -4.1570 eV/atom

abc: 14.656 4.352 11.670
angles: 90.00 90.00 90.00
Fractional coordinates of all 24 atoms:
Dy 0.009 0.750 0.175
Te 0.622 0.250 0.879
Dy 0.991 0.250 0.825
Pb 0.219 0.750 0.446
Pb 0.781 0.250 0.554
Ag 0.492 0.750 0.913
Dy 0.509 0.750 0.325
Te 0.110 0.750 0.941
Ag 0.508 0.250 0.087
Te 0.878 0.750 0.379
Te 0.390 0.250 0.441
Te 0.852 0.750 0.754
Ag 0.992 0.750 0.587
Te 0.610 0.750 0.559
Te 0.352 0.750 0.746
Te 0.378 0.750 0.121
Pb 0.281 0.250 0.946
Pb 0.719 0.750 0.054
Te 0.890 0.250 0.059
Dy 0.491 0.250 0.675
Ag 0.008 0.250 0.413
Te 0.122 0.250 0.621
Te 0.648 0.250 0.254
Te 0.148 0.250 0.246

[10]
DyAgTe3Pb | GGA-PBE | optimized geometry

energy: -4.1305 eV/atom

abc: 10.064 10.064 9.008
angles: 101.85 101.85 24.89
Fractional coordinates of all 12 atoms:
Pb 0.872 0.872 0.428
Dy 0.162 0.162 0.088
Te 0.676 0.676 0.853
Ag 0.459 0.459 0.787
Te 0.314 0.314 0.663
Te 0.500 0.500 0.500
Dy 0.838 0.838 0.912
Pb 0.128 0.128 0.572
Te 0.000 0.000 0.000
Te 0.324 0.324 0.147
Te 0.686 0.686 0.337
Ag 0.541 0.541 0.213

[11]
DyYAg2Pb2 | GGA-PBE | optimized geometry

energy: -4.4392 eV/atom

abc: 4.811 4.811 7.448
angles: 90.00 90.00 120.00
Fractional coordinates of all 6 atoms:
Pb 0.333 0.667 0.273
Ag 0.667 0.333 0.180
Ag 0.333 0.667 0.678
Dy 0.000 0.000 0.492
Y 0.000 0.000 0.992
Pb 0.667 0.333 0.771

[12]
DySi2AgPd | GGA-PBE | optimized geometry

energy: -5.3522 eV/atom

abc: 5.942 5.942 5.942
angles: 139.29 139.29 58.93
Fractional coordinates of all 5 atoms:
Ag 0.000 0.000 0.000
Si 0.639 0.139 0.500
Si 0.861 0.361 0.500
Pd 0.500 0.500 0.000
Dy 0.250 0.750 0.500

[13]
TbDy2Tl3AgPd2 | GGA-PBE | optimized geometry

energy: -4.3402 eV/atom

abc: 3.779 7.930 7.930
angles: 120.03 90.00 90.00
Fractional coordinates of all 9 atoms:
Pd 0.500 0.667 0.333
Ag 0.000 0.000 0.000
Tb 0.000 0.593 0.593
Dy 0.000 0.000 0.407
Pd 0.500 0.333 0.667
Dy 0.000 0.407 0.000
Tl 0.500 0.000 0.726
Tl 0.500 0.273 0.273
Tl 0.500 0.726 0.000

[14]
Dy2TmTl3AgPd2 | GGA-PBE | optimized geometry

energy: -4.3145 eV/atom

abc: 3.745 7.917 7.917
angles: 119.95 90.00 90.00
Fractional coordinates of all 9 atoms:
Dy 0.000 0.595 0.000
Ag 0.000 0.001 0.001
Tl 0.500 0.000 0.275
Pd 0.500 0.334 0.665
Tl 0.500 0.725 0.725
Tm 0.000 0.406 0.406
Pd 0.500 0.665 0.334
Tl 0.500 0.275 0.000
Dy 0.000 0.000 0.595

[15]
PmDyAg | GGA-PBE | optimized geometry

energy: -3.5903 eV/atom
E_form: 0.467 eV/atom

abc: 4.950 4.950 4.950
angles: 60.00 60.00 60.00
Fractional coordinates of all 3 atoms:
Ag 0.250 0.250 0.250
Pm 0.750 0.750 0.750
Dy 0.000 0.000 0.000

[16]
PmDy4Ag5 | GGA-PBE | optimized geometry

energy: -4.0513 eV/atom
E_form: -0.324 eV/atom

abc: 3.629 3.629 18.338
angles: 90.00 90.00 90.00
Fractional coordinates of all 10 atoms:
Ag 0.500 0.500 0.500
Dy 0.000 0.000 0.204
Ag 0.500 0.500 0.107
Ag 0.500 0.500 0.893
Ag 0.500 0.500 0.698
Pm 0.000 0.000 0.000
Dy 0.000 0.000 0.796
Dy 0.000 0.000 0.401
Ag 0.500 0.500 0.302
Dy 0.000 0.000 0.599

[17]
PrDy4Ag5 | GGA-PBE | optimized geometry

energy: -4.0495 eV/atom
E_form: -0.319 eV/atom

abc: 3.638 3.638 18.399
angles: 90.00 90.00 90.00
Fractional coordinates of all 10 atoms:
Ag 0.500 0.500 0.303
Dy 0.000 0.000 0.794
Ag 0.500 0.500 0.111
Dy 0.000 0.000 0.206
Dy 0.000 0.000 0.598
Ag 0.500 0.500 0.697
Pr 0.000 0.000 0.000
Ag 0.500 0.500 0.889
Ag 0.500 0.500 0.500
Dy 0.000 0.000 0.402

[18]
Pr2DySi4Ag4 | GGA-PBE | optimized geometry

energy: -4.7576 eV/atom

abc: 13.175 13.175 13.175
angles: 161.81 161.26 26.23
Fractional coordinates of all 11 atoms:
Pr 0.353 0.853 0.500
Si 0.455 0.455 0.000
Pr 0.647 0.147 0.500
Ag 0.907 0.407 0.500
Ag 0.749 0.749 0.000
Si 0.811 0.311 0.500
Si 0.545 0.545 0.000
Si 0.189 0.689 0.500
Ag 0.093 0.593 0.500
Dy 0.000 0.000 0.000
Ag 0.251 0.251 0.000

[19]
PrDyAg2Sn2 | GGA-PBE | optimized geometry

energy: -4.4508 eV/atom

abc: 4.770 4.770 7.506
angles: 90.00 90.00 120.00
Fractional coordinates of all 6 atoms:
Ag 0.667 0.333 0.444
Sn 0.333 0.667 0.530
Dy 0.000 0.000 0.259
Sn 0.667 0.333 0.043
Ag 0.333 0.667 0.967
Pr 0.000 0.000 0.757

[20]
DyAgPt | GGA-PBE | optimized geometry

energy: -4.8319 eV/atom
E_form: -0.338 eV/atom

abc: 4.681 4.681 4.681
angles: 60.00 60.00 60.00
Fractional coordinates of all 3 atoms:
Ag 0.000 0.000 0.000
Pt 0.500 0.500 0.500
Dy 0.750 0.750 0.750

[21]
DyAgPt | GGA-PBE | optimized geometry

energy: -5.1661 eV/atom
E_form: -0.672 eV/atom

abc: 4.640 4.640 4.640
angles: 60.00 60.00 60.00
Fractional coordinates of all 3 atoms:
Dy 0.750 0.750 0.750
Ag 0.250 0.250 0.250
Pt 0.000 0.000 0.000

no.,calculated density (g/cm3)
1,7.62
2,7.99
3,10.33
4,7.90
5,7.74
6,7.88
7,7.67
8,7.92
9,7.68
10,7.61
11,9.80
12,8.14
13,11.44
14,11.66
15,8.04
16,9.18
17,9.07
18,7.16
19,8.49
20,10.66
21,10.94